Here is crystalline Nd3CdAu2 at its relaxed geometry from Alexandria via LeMat-Bulk. Energies are from PBE.

a = 3.764 Å, b = 3.764 Å, c = 11.271 Å
α = 90.00°, β = 90.00°, γ = 90.00°
Space group P4/mmm (No. 123)
Inequivalent atoms, fractional coordinates:
Nd  0.000  0.000  0.000 x1
Nd  0.000  0.000  0.323 x2
Cd  0.500  0.500  0.500 x1
Au  0.500  0.500  0.167 x2

For the formation enthalpy at 0 K, the calculation gives -0.615 eV per atom. As for the magnetization: 0.00 Bohr magnetons per cell. The value obtained for the total DFT energy (no corrections) is -4.2440 eV/atom.